<a>
The following is a DFT calculation (PBE-GGA) of an optimized crystal structure of La3Dy4Er5.

Properties
Spin magnetization (μB/cell): 0.39
Mass density (g/cm3): 7.93
Density of states at the Fermi level (states/eV per cell): 36.67

a = 17.761 Å, b = 5.688 Å, c = 8.632 Å
α = 90.00°, β = 113.99°, γ = 90.00°
Space group C2/m (No. 12)
Unique sites:
La1 0.000 0.000 0.000 [2 per cell]
La2 0.182 0.500 0.237 [4 per cell]
Dy1 0.049 0.500 0.699 [4 per cell]
Dy2 0.222 0.500 0.652 [4 per cell]
Er1 0.000 0.500 0.000 [2 per cell]
Er2 0.090 0.000 0.449 [4 per cell]
Er3 0.166 0.000 0.900 [4 per cell]

=====

<b>
The following is a DFT calculation (PBE-GGA) of an optimized crystal structure of La3Dy4Er5.

Properties
Spin magnetization (μB/cell): 0.00
Mass density (g/cm3): 8.12
Density of states at the Fermi level (states/eV per cell): 16.97

a = 6.199 Å, b = 7.152 Å, c = 8.780 Å
α = 89.76°, β = 89.77°, γ = 89.90°
Space group P-1 (No. 2)
Unique sites:
La1 0.000 0.000 0.000 [1 per cell]
La2 0.167 0.251 0.334 [2 per cell]
Dy1 0.171 0.749 0.333 [2 per cell]
Dy2 0.333 0.499 0.669 [2 per cell]
Er1 0.000 0.500 0.000 [1 per cell]
Er2 0.336 0.000 0.668 [2 per cell]
Er3 0.498 0.748 0.000 [2 per cell]

=====

Quick one: least stable of them? <a>

=====

<a>
The following is a DFT calculation (PBE-GGA) of an optimized crystal structure of LaDy4Er5.

Properties
Spin magnetization (μB/cell): 0.01
Mass density (g/cm3): 8.29
Density of states at the Fermi level (states/eV per cell): 28.97

a = 10.200 Å, b = 10.200 Å, c = 6.258 Å
α = 90.00°, β = 90.00°, γ = 90.00°
Space group I4 (No. 79)
Unique sites:
La1 0.000 0.000 0.000 [2 per cell]
Dy1 0.052 0.649 0.231 [8 per cell]
Er1 0.000 0.000 0.459 [2 per cell]
Er2 0.145 0.766 0.724 [8 per cell]

=====

<b>
The following is a DFT calculation (PBE-GGA) of an optimized crystal structure of LaDy4Er5.

Properties
Spin magnetization (μB/cell): 0.00
Mass density (g/cm3): 8.46
Density of states at the Fermi level (states/eV per cell): 16.26

a = 3.547 Å, b = 6.616 Å, c = 14.207 Å
α = 99.00°, β = 93.85°, γ = 103.13°
Space group P-1 (No. 2)
Unique sites:
La1 0.000 0.000 0.000 [1 per cell]
Dy1 0.108 0.804 0.219 [2 per cell]
Dy2 0.211 0.732 0.801 [2 per cell]
Er1 0.206 0.882 0.583 [2 per cell]
Er2 0.497 0.428 0.612 [2 per cell]
Er3 0.500 0.500 0.000 [1 per cell]

=====

Quick one: least stable of them? <a>

=====

<a>
The following is a DFT calculation (PBE-GGA) of an optimized crystal structure of La3Dy4Er.

Properties
Spin magnetization (μB/cell): 0.00
Mass density (g/cm3): 7.70
Density of states at the Fermi level (states/eV per cell): 20.77

a = 7.231 Å, b = 10.237 Å, c = 7.194 Å
α = 90.00°, β = 90.00°, γ = 90.00°
Space group Pmmn (No. 59, origin choice 2)
Unique sites:
La1 0.000 0.000 0.000 [4 per cell]
La2 0.250 0.250 0.257 [2 per cell]
Dy1 0.000 0.000 0.500 [4 per cell]
Dy2 0.250 0.750 0.255 [2 per cell]
Dy3 0.250 0.750 0.744 [2 per cell]
Er1 0.250 0.250 0.747 [2 per cell]

=====

<b>
The following is a DFT calculation (PBE-GGA) of an optimized crystal structure of La3Dy4Er.

Properties
Spin magnetization (μB/cell): 0.00
Mass density (g/cm3): 7.53
Density of states at the Fermi level (states/eV per cell): 24.98

a = 3.511 Å, b = 11.824 Å, c = 13.103 Å
α = 90.00°, β = 90.00°, γ = 90.00°
Space group Immm (No. 71)
Unique sites:
La1 0.000 0.000 0.000 [2 per cell]
La2 0.000 0.500 0.244 [4 per cell]
Dy1 0.000 0.245 0.366 [8 per cell]
Er1 0.000 0.000 0.500 [2 per cell]

=====

Quick one: least stable of them? <b>

=====

<a>
The following is a DFT calculation (PBE-GGA) of an optimized crystal structure of LaDy4Er2.

Properties
Spin magnetization (μB/cell): 0.00
Mass density (g/cm3): 8.32
Density of states at the Fermi level (states/eV per cell): 22.87

a = 6.154 Å, b = 6.552 Å, c = 11.468 Å
α = 90.00°, β = 104.05°, γ = 90.00°
Space group P2_1/m (No. 11)
Unique sites:
La1 0.046 0.250 0.363 [2 per cell]
Dy1 0.151 0.250 0.665 [2 per cell]
Dy2 0.290 0.750 0.926 [2 per cell]
Dy3 0.352 0.509 0.212 [4 per cell]
Er1 0.148 0.250 0.951 [2 per cell]
Er2 0.394 0.750 0.505 [2 per cell]

=====

<b>
The following is a DFT calculation (PBE-GGA) of an optimized crystal structure of LaDy4Er2.

Properties
Spin magnetization (μB/cell): 0.00
Mass density (g/cm3): 8.24
Density of states at the Fermi level (states/eV per cell): 22.22

a = 7.068 Å, b = 8.601 Å, c = 8.824 Å
α = 114.61°, β = 101.42°, γ = 101.77°
Space group P1 (No. 1)
Unique sites:
La1 0.000 0.000 0.000 [1 per cell]
La2 0.301 0.668 0.546 [1 per cell]
Dy1 0.025 0.827 0.279 [1 per cell]
Dy2 0.107 0.555 0.874 [1 per cell]
Dy3 0.388 0.403 0.137 [1 per cell]
Dy4 0.413 0.229 0.415 [1 per cell]
Dy5 0.501 0.002 0.002 [1 per cell]
Dy6 0.608 0.555 0.872 [1 per cell]
Dy7 0.705 0.117 0.703 [1 per cell]
Dy8 0.908 0.232 0.416 [1 per cell]
Er1 0.208 0.124 0.706 [1 per cell]
Er2 0.525 0.824 0.273 [1 per cell]
Er3 0.800 0.667 0.536 [1 per cell]
Er4 0.881 0.404 0.135 [1 per cell]

=====

Quick one: least stable of them? <a>

=====

<a>
The following is a DFT calculation (PBE-GGA) of an optimized crystal structure of LaDy5Er3.

Properties
Spin magnetization (μB/cell): 0.00
Mass density (g/cm3): 8.12
Density of states at the Fermi level (states/eV per cell): 56.80

a = 19.142 Å, b = 6.042 Å, c = 11.115 Å
α = 90.00°, β = 112.43°, γ = 90.00°
Space group C2/c (No. 15)
Unique sites:
La1 0.000 0.151 0.250 [4 per cell]
Dy1 0.000 0.369 0.750 [4 per cell]
Dy2 0.165 0.257 0.697 [8 per cell]
Dy3 0.169 0.268 0.029 [8 per cell]
Er1 0.000 0.000 0.000 [4 per cell]
Er2 0.176 0.224 0.365 [8 per cell]

=====

<b>
The following is a DFT calculation (PBE-GGA) of an optimized crystal structure of LaDy5Er3.

Properties
Spin magnetization (μB/cell): 0.00
Mass density (g/cm3): 7.73
Density of states at the Fermi level (states/eV per cell): 55.51

a = 16.966 Å, b = 7.972 Å, c = 12.170 Å
α = 90.00°, β = 130.63°, γ = 90.00°
Space group C2/m (No. 12)
Unique sites:
La1 0.237 0.000 0.137 [4 per cell]
Dy1 0.000 0.322 0.000 [4 per cell]
Dy2 0.064 0.207 0.780 [8 per cell]
Dy3 0.123 0.000 0.568 [4 per cell]
Dy4 0.201 0.500 0.072 [4 per cell]
Er1 0.000 0.000 0.000 [2 per cell]
Er2 0.000 0.500 0.500 [2 per cell]
Er3 0.122 0.500 0.320 [4 per cell]
Er4 0.165 0.000 0.338 [4 per cell]

=====

Quick one: least stable of them? <b>

=====

<a>
The following is a DFT calculation (PBE-GGA) of an optimized crystal structure of LaDy8Er2.

Properties
Spin magnetization (μB/cell): 0.00
Mass density (g/cm3): 8.02
Density of states at the Fermi level (states/eV per cell): 35.94

a = 19.236 Å, b = 6.939 Å, c = 5.510 Å
α = 90.00°, β = 92.92°, γ = 90.00°
Space group C2/m (No. 12)
Unique sites:
La1 0.000 0.000 0.000 [2 per cell]
Dy1 0.047 0.500 0.239 [4 per cell]
Dy2 0.135 0.267 0.732 [8 per cell]
Dy3 0.190 0.000 0.234 [4 per cell]
Er1 0.215 0.500 0.250 [4 per cell]

=====

<b>
The following is a DFT calculation (PBE-GGA) of an optimized crystal structure of LaDy8Er2.

Properties
Spin magnetization (μB/cell): 0.00
Mass density (g/cm3): 8.25
Density of states at the Fermi level (states/eV per cell): 33.33

a = 5.500 Å, b = 8.164 Å, c = 15.895 Å
α = 90.00°, β = 90.00°, γ = 90.00°
Space group Immm (No. 71)
Unique sites:
La1 0.000 0.000 0.000 [2 per cell]
Dy1 0.000 0.203 0.500 [4 per cell]
Dy2 0.000 0.295 0.141 [8 per cell]
Dy3 0.000 0.500 0.336 [4 per cell]
Er1 0.000 0.000 0.301 [4 per cell]

=====

Quick one: least stable of them? <a>

=====

<a>
The following is a DFT calculation (PBE-GGA) of an optimized crystal structure of La2DyEr4.

Properties
Spin magnetization (μB/cell): 0.00
Mass density (g/cm3): 8.10
Density of states at the Fermi level (states/eV per cell): 19.94

a = 7.156 Å, b = 8.003 Å, c = 8.776 Å
α = 111.25°, β = 90.30°, γ = 102.86°
Space group P1 (No. 1)
Unique sites:
La1 0.000 0.000 0.000 [1 per cell]
La2 0.071 0.285 0.430 [1 per cell]
La3 0.358 0.438 0.147 [1 per cell]
La4 0.498 0.000 0.000 [1 per cell]
Dy1 0.783 0.146 0.715 [1 per cell]
Dy2 0.927 0.719 0.573 [1 per cell]
Er1 0.140 0.571 0.855 [1 per cell]
Er2 0.213 0.860 0.292 [1 per cell]
Er3 0.286 0.145 0.713 [1 per cell]
Er4 0.429 0.720 0.574 [1 per cell]
Er5 0.571 0.289 0.433 [1 per cell]
Er6 0.643 0.569 0.852 [1 per cell]
Er7 0.714 0.859 0.291 [1 per cell]
Er8 0.858 0.437 0.146 [1 per cell]

=====

<b>
The following is a DFT calculation (PBE-GGA) of an optimized crystal structure of La2DyEr4.

Properties
Spin magnetization (μB/cell): 0.01
Mass density (g/cm3): 6.98
Density of states at the Fermi level (states/eV per cell): 18.86

a = 5.515 Å, b = 5.515 Å, c = 17.350 Å
α = 90.00°, β = 90.00°, γ = 90.00°
Space group I4/mmm (No. 139)
Unique sites:
La1 0.000 0.000 0.127 [4 per cell]
Dy1 0.000 0.000 0.500 [2 per cell]
Er1 0.000 0.000 0.326 [4 per cell]
Er2 0.000 0.500 0.000 [4 per cell]

=====

Quick one: least stable of them? <b>

=====

<a>
The following is a DFT calculation (PBE-GGA) of an optimized crystal structure of La3Dy4Er2.

Properties
Spin magnetization (μB/cell): 0.01
Mass density (g/cm3): 7.72
Density of states at the Fermi level (states/eV per cell): 31.19

a = 11.693 Å, b = 5.765 Å, c = 9.139 Å
α = 90.00°, β = 101.78°, γ = 90.00°
Space group C2/m (No. 12)
Unique sites:
La1 0.000 0.000 0.000 [2 per cell]
La2 0.128 0.000 0.691 [4 per cell]
Dy1 0.177 0.500 0.962 [4 per cell]
Dy2 0.225 0.000 0.370 [4 per cell]
Er1 0.060 0.500 0.308 [4 per cell]

=====

<b>
The following is a DFT calculation (PBE-GGA) of an optimized crystal structure of La3Dy4Er2.

Properties
Spin magnetization (μB/cell): 0.00
Mass density (g/cm3): 7.64
Density of states at the Fermi level (states/eV per cell): 43.33

a = 13.645 Å, b = 13.835 Å, c = 6.464 Å
α = 90.00°, β = 93.63°, γ = 90.00°
Space group C2/c (No. 15)
Unique sites:
La1 0.000 0.031 0.250 [4 per cell]
La2 0.108 0.291 0.105 [8 per cell]
Dy1 0.098 0.430 0.584 [8 per cell]
Dy2 0.212 0.059 0.057 [8 per cell]
Er1 0.141 0.180 0.603 [8 per cell]

=====

Quick one: least stable of them? <b>

=====

<a>
The following is a DFT calculation (PBE-GGA) of an optimized crystal structure of La2Dy2Er.

Properties
Spin magnetization (μB/cell): 0.00
Mass density (g/cm3): 7.55
Density of states at the Fermi level (states/eV per cell): 33.82

a = 15.952 Å, b = 6.394 Å, c = 6.842 Å
α = 90.00°, β = 103.90°, γ = 90.00°
Space group C2/c (No. 15)
Unique sites:
La1 0.198 0.086 0.151 [8 per cell]
Dy1 0.096 0.417 0.451 [8 per cell]
Er1 0.000 0.084 0.750 [4 per cell]

=====

<b>
The following is a DFT calculation (PBE-GGA) of an optimized crystal structure of La2Dy2Er.

Properties
Spin magnetization (μB/cell): 0.00
Mass density (g/cm3): 7.65
Density of states at the Fermi level (states/eV per cell): 35.27

a = 3.563 Å, b = 5.707 Å, c = 32.889 Å
α = 90.00°, β = 90.00°, γ = 90.00°
Space group Imma (No. 74)
Unique sites:
La1 0.000 0.250 0.186 [4 per cell]
La2 0.000 0.250 0.708 [4 per cell]
Dy1 0.000 0.250 0.883 [4 per cell]
Dy2 0.000 0.250 0.979 [4 per cell]
Er1 0.000 0.250 0.427 [4 per cell]

=====

Quick one: least stable of them? <b>

=====

<a>
The following is a DFT calculation (PBE-GGA) of an optimized crystal structure of La5Dy2Er4.

Properties
Spin magnetization (μB/cell): 0.00
Mass density (g/cm3): 7.22
Density of states at the Fermi level (states/eV per cell): 37.02

a = 3.546 Å, b = 9.230 Å, c = 23.740 Å
α = 90.00°, β = 90.00°, γ = 90.00°
Space group Immm (No. 71)
Unique sites:
La1 0.000 0.000 0.000 [2 per cell]
La2 0.000 0.299 0.354 [8 per cell]
Dy1 0.000 0.500 0.230 [4 per cell]
Er1 0.000 0.182 0.500 [4 per cell]
Er2 0.000 0.500 0.096 [4 per cell]

=====

<b>
The following is a DFT calculation (PBE-GGA) of an optimized crystal structure of La5Dy2Er4.

Properties
Spin magnetization (μB/cell): 0.00
Mass density (g/cm3): 7.61
Density of states at the Fermi level (states/eV per cell): 30.30

a = 17.884 Å, b = 3.576 Å, c = 11.549 Å
α = 90.00°, β = 94.16°, γ = 90.00°
Space group C2/m (No. 12)
Unique sites:
La1 0.000 0.000 0.000 [2 per cell]
La2 0.097 0.500 0.535 [4 per cell]
La3 0.177 0.500 0.073 [4 per cell]
Dy1 0.216 0.000 0.351 [4 per cell]
Er1 0.035 0.500 0.261 [4 per cell]
Er2 0.140 0.000 0.797 [4 per cell]

=====

Quick one: least stable of them? <a>